Entry 1:
First-principles (PBE-GGA) data for crystalline Pd2PtF at its relaxed geometry, as listed in the Alexandria database.

Summary:
For the total energy, the calculation gives -4.49 eV per atom. As for the theoretical density: 11.49 g/cm³. Its uncorrected formation energy is 0.36 eV/f.u. Its polymorph energy (0 for the lowest one) is 75.2 meV/atom. The value obtained for the spin magnetization is 0.00 μB/f.u.

Structure (CIF):
```
data_Pd2PtF
_cell_length_a 6.552
_cell_length_b 6.552
_cell_length_c 5.750
_cell_angle_alpha 90.00
_cell_angle_beta 90.00
_cell_angle_gamma 90.00
_space_group_name_H-M_alt 'I -4 2 d'
_space_group_IT_number 122
_space_group_name_Hall 'I -4 2bw'
loop_
_atom_site_label
_atom_site_fract_x
_atom_site_fract_y
_atom_site_fract_z
Pd1 0.216 0.250 0.125
Pt1 0.000 0.000 0.500
F1 0.000 0.000 0.000
```

***

Entry 2:
First-principles (PBE-GGA) data for crystalline MgBeAg3 at its relaxed geometry, as listed in the Alexandria database.

Summary:
For the total energy, the calculation gives -2.60 eV per atom. As for the theoretical density: 6.62 g/cm³. Its polymorph energy (0 for the lowest one) is 0.0 meV/atom. For the formation enthalpy at 0 K, the calculation gives 0.892 eV per formula unit. The value obtained for the spin magnetization is 0.00 μB/f.u.

Structure (CIF):
```
data_MgBeAg3
_cell_length_a 4.473
_cell_length_b 4.473
_cell_length_c 4.473
_cell_angle_alpha 90.00
_cell_angle_beta 90.00
_cell_angle_gamma 90.00
_space_group_name_H-M_alt 'P m -3 m'
_space_group_IT_number 221
_space_group_name_Hall '-P 4 2 3'
loop_
_atom_site_label
_atom_site_fract_x
_atom_site_fract_y
_atom_site_fract_z
Mg1 0.000 0.000 0.000
Be1 0.500 0.500 0.500
Ag1 0.000 0.500 0.500
```

***

Entry 3:
First-principles (PBE-GGA) data for crystalline CaRe3N at its relaxed geometry, as listed in the Alexandria database.

Summary:
For the total energy, the calculation gives -8.96 eV per atom. As for the theoretical density: 13.70 g/cm³. Its uncorrected formation energy is 2.87 eV/f.u. Its polymorph energy (0 for the lowest one) is 0.0 meV/atom. The value obtained for the spin magnetization is 1.02 μB/f.u.

Structure (CIF):
```
data_CaRe3N
_cell_length_a 4.203
_cell_length_b 4.203
_cell_length_c 4.203
_cell_angle_alpha 90.00
_cell_angle_beta 90.00
_cell_angle_gamma 90.00
_space_group_name_H-M_alt 'P m -3 m'
_space_group_IT_number 221
_space_group_name_Hall '-P 4 2 3'
loop_
_atom_site_label
_atom_site_fract_x
_atom_site_fract_y
_atom_site_fract_z
Ca1 0.000 0.000 0.000
Re1 0.000 0.500 0.500
N1 0.500 0.500 0.500
```

***

Entry 4:
First-principles (PBE-GGA) data for crystalline RbIn2GeTe at its relaxed geometry, as listed in the Alexandria database.

Summary:
For the total energy, the calculation gives -2.53 eV per atom. As for the theoretical density: 4.10 g/cm³. Its uncorrected formation energy is 1.54 eV/f.u. The value obtained for the spin magnetization is 0.00 μB/f.u.

Structure (CIF):
```
data_RbIn2GeTe
_cell_length_a 6.012
_cell_length_b 6.012
_cell_length_c 5.779
_cell_angle_alpha 90.00
_cell_angle_beta 90.00
_cell_angle_gamma 90.00
_space_group_name_H-M_alt 'P 4/m m m'
_space_group_IT_number 123
_space_group_name_Hall '-P 4 2'
loop_
_atom_site_label
_atom_site_fract_x
_atom_site_fract_y
_atom_site_fract_z
Rb1 0.000 0.000 0.000
In1 0.000 0.500 0.500
Ge1 0.500 0.500 0.000
Te1 0.500 0.500 0.500
```

***

Entry 5:
First-principles (PBE-GGA) data for crystalline Mg2ScPaO6 at its relaxed geometry, as listed in the Alexandria database.

Summary:
For the total energy, the calculation gives -8.07 eV per atom. As for the theoretical density: 5.68 g/cm³. Its uncorrected formation energy is -31.89 eV/f.u. The value obtained for the spin magnetization is 0.00 μB/f.u.

Structure (CIF):
```
data_Mg2ScPaO6
_cell_length_a 5.4211
_cell_length_b 5.4211
_cell_length_c 14.4878
_cell_angle_alpha 90.00
_cell_angle_beta 90.00
_cell_angle_gamma 120.00
_space_group_name_H-M_alt 'R 3'
_space_group_IT_number 146
_space_group_name_Hall 'R 3'
loop_
_atom_site_label
_atom_site_fract_x
_atom_site_fract_y
_atom_site_fract_z
Mg1 0.0000 0.0000 0.0000
Mg2 0.0000 0.0000 0.4994
Sc1 0.0000 0.0000 0.2095
Pa1 0.0000 0.0000 0.7103
O1 0.0011 0.3034 0.6068
O2 0.0131 0.7103 0.1071
```

***

Entry 6:
First-principles (PBE-GGA) data for crystalline Zn10AgPt6 at its relaxed geometry, as listed in the Alexandria database.

Summary:
For the total energy, the calculation gives -3.44 eV per atom. As for the theoretical density: 12.30 g/cm³. For the formation enthalpy at 0 K, the calculation gives -6.584 eV per formula unit. The value obtained for the spin magnetization is 0.00 μB/f.u.

Structure (CIF):
```
data_Zn10AgPt6
_cell_length_a 7.5786
_cell_length_b 7.5786
_cell_length_c 5.2470
_cell_angle_alpha 90.00
_cell_angle_beta 90.00
_cell_angle_gamma 120.00
_space_group_name_H-M_alt 'P -3 1 m'
_space_group_IT_number 162
_space_group_name_Hall '-P 3 2'
loop_
_atom_site_label
_atom_site_fract_x
_atom_site_fract_y
_atom_site_fract_z
Zn1 0.0000 0.2933 0.3179
Zn2 0.3333 0.6667 0.0000
Zn3 0.3333 0.6667 0.5000
Ag1 0.0000 0.0000 0.0000
Pt1 0.0000 0.3637 0.8016
```

***

Entry 7:
First-principles (PBE-GGA) data for crystalline FeSb2Os at its relaxed geometry, as listed in the Alexandria database.

Summary:
For the total energy, the calculation gives -6.66 eV per atom. As for the theoretical density: 10.92 g/cm³. Its uncorrected formation energy is 1.29 eV/f.u. Its polymorph energy (0 for the lowest one) is 39.7 meV/atom. The value obtained for the spin magnetization is 2.45 μB/f.u.

Structure (CIF):
```
data_FeSb2Os
_cell_length_a 4.138
_cell_length_b 3.731
_cell_length_c 9.647
_cell_angle_alpha 90.00
_cell_angle_beta 90.00
_cell_angle_gamma 90.00
_space_group_name_H-M_alt 'A m m 2'
_space_group_IT_number 38
loop_
_space_group_symop_operation_xyz
'x,y,z'
'-x,-y,z'
'-x,y,z'
'x,-y,z'
'x,y+1/2,z+1/2'
'-x,-y+1/2,z+1/2'
'-x,y+1/2,z+1/2'
'x,-y+1/2,z+1/2'
loop_
_atom_site_label
_atom_site_fract_x
_atom_site_fract_y
_atom_site_fract_z
Fe1 0.000 0.000 0.000
Sb1 0.000 0.000 0.278
Sb2 0.500 0.000 0.567
Os1 0.500 0.000 0.853
```

***

Entry 8:
First-principles (PBE-GGA) data for crystalline Mn2CoB at its relaxed geometry, as listed in the Alexandria database.

Summary:
For the total energy, the calculation gives -7.55 eV per atom. As for the theoretical density: 7.31 g/cm³. For the formation enthalpy at 0 K, the calculation gives 1.937 eV per formula unit. The value obtained for the spin magnetization is 0.00 μB/f.u.

Structure (CIF):
```
data_Mn2CoB
_cell_length_a 3.214
_cell_length_b 3.214
_cell_length_c 15.806
_cell_angle_alpha 90.00
_cell_angle_beta 90.00
_cell_angle_gamma 90.00
_space_group_name_H-M_alt 'I -4 2 d'
_space_group_IT_number 122
_space_group_name_Hall 'I -4 2bw'
loop_
_atom_site_label
_atom_site_fract_x
_atom_site_fract_y
_atom_site_fract_z
Mn1 0.200 0.250 0.125
Co1 0.000 0.000 0.500
B1 0.000 0.000 0.000
```

***

Entry 9:
First-principles (PBE-GGA) data for crystalline ZnSiH3 at its relaxed geometry, as listed in the Alexandria database.

Summary:
For the total energy, the calculation gives -2.62 eV per atom. As for the theoretical density: 3.43 g/cm³. Its polymorph energy (0 for the lowest one) is 223.3 meV/atom. The value obtained for the spin magnetization is 0.00 μB/f.u.

Structure (CIF):
```
data_ZnSiH3
_cell_length_a 3.601
_cell_length_b 3.601
_cell_length_c 3.601
_cell_angle_alpha 90.00
_cell_angle_beta 90.00
_cell_angle_gamma 90.00
_space_group_name_H-M_alt 'P m -3 m'
_space_group_IT_number 221
_space_group_name_Hall '-P 4 2 3'
loop_
_atom_site_label
_atom_site_fract_x
_atom_site_fract_y
_atom_site_fract_z
Zn1 0.000 0.000 0.000
Si1 0.500 0.500 0.500
H1 0.000 0.000 0.500
```

***

Entry 10:
First-principles (PBE-GGA) data for crystalline LaCrBr2 at its relaxed geometry, as listed in the Alexandria database.

Summary:
For the total energy, the calculation gives -5.02 eV per atom. As for the theoretical density: 5.73 g/cm³. Its uncorrected formation energy is -2.19 eV/f.u. Its polymorph energy (0 for the lowest one) is 101.9 meV/atom. The value obtained for the spin magnetization is 4.43 μB/f.u.

Structure (CIF):
```
data_LaCrBr2
_cell_length_a 4.013
_cell_length_b 5.617
_cell_length_c 9.012
_cell_angle_alpha 90.00
_cell_angle_beta 90.00
_cell_angle_gamma 90.00
_space_group_name_H-M_alt 'I m m m'
_space_group_IT_number 71
_space_group_name_Hall '-I 2 2'
loop_
_atom_site_label
_atom_site_fract_x
_atom_site_fract_y
_atom_site_fract_z
La1 0.000 0.000 0.000
Cr1 0.000 0.000 0.500
Br1 0.000 0.500 0.201
```

***

Entry 11:
First-principles (PBE-GGA) data for crystalline Ac2CuSnN at its relaxed geometry, as listed in the Alexandria database.

Summary:
For the total energy, the calculation gives -5.65 eV per atom. As for the theoretical density: 8.41 g/cm³. Its uncorrected formation energy is -3.60 eV/f.u. The value obtained for the spin magnetization is 0.00 μB/f.u.

Structure (CIF):
```
data_Ac2CuSnN
_cell_length_a 7.134
_cell_length_b 4.173
_cell_length_c 9.086
_cell_angle_alpha 90.00
_cell_angle_beta 108.39
_cell_angle_gamma 90.00
_space_group_name_H-M_alt 'P 1 21/m 1'
_space_group_IT_number 11
loop_
_space_group_symop_operation_xyz
'x,y,z'
'-x,-y,-z'
'-x,y+1/2,-z'
'x,-y+1/2,z'
loop_
_atom_site_label
_atom_site_fract_x
_atom_site_fract_y
_atom_site_fract_z
Ac1 0.202 0.250 0.376
Ac2 0.212 0.250 0.968
Cu1 0.444 0.750 0.239
Sn1 0.318 0.750 0.696
N1 0.152 0.750 0.161
```

***

Entry 12:
First-principles (PBE-GGA) data for crystalline Tb2Ho3Tm6Hf at its relaxed geometry, as listed in the Alexandria database.

Summary:
For the total energy, the calculation gives -4.92 eV per atom. As for the theoretical density: 9.37 g/cm³. For the formation enthalpy at 0 K, the calculation gives 0.732 eV per formula unit. The value obtained for the spin magnetization is 0.00 μB/f.u.

Structure (CIF):
```
data_Tb2Ho3Tm6Hf
_cell_length_a 6.023
_cell_length_b 10.417
_cell_length_c 11.498
_cell_angle_alpha 90.00
_cell_angle_beta 100.01
_cell_angle_gamma 90.00
_space_group_name_H-M_alt 'C 1 2/m 1'
_space_group_IT_number 12
loop_
_space_group_symop_operation_xyz
'x,y,z'
'-x,-y,-z'
'-x,y,-z'
'x,-y,z'
'x+1/2,y+1/2,z'
'-x+1/2,-y+1/2,-z'
'-x+1/2,y+1/2,-z'
'x+1/2,-y+1/2,z'
loop_
_atom_site_label
_atom_site_fract_x
_atom_site_fract_y
_atom_site_fract_z
Tb1 0.000 0.167 0.000
Ho1 0.000 0.000 0.500
Ho2 0.000 0.333 0.500
Tm1 0.244 0.337 0.245
Tm2 0.245 0.500 0.755
Hf1 0.000 0.500 0.000
```

***

Entry 13:
First-principles (PBE-GGA) data for crystalline Nd8Er3Th at its relaxed geometry, as listed in the Alexandria database.

Summary:
For the total energy, the calculation gives -4.91 eV per atom. As for the theoretical density: 7.72 g/cm³. For the formation enthalpy at 0 K, the calculation gives 0.378 eV per formula unit. The value obtained for the spin magnetization is 0.00 μB/f.u.

Structure (CIF):
```
data_Nd8Er3Th
_cell_length_a 6.300
_cell_length_b 8.100
_cell_length_c 8.119
_cell_angle_alpha 84.14
_cell_angle_beta 82.49
_cell_angle_gamma 82.66
_space_group_name_H-M_alt 'P -1'
_space_group_IT_number 2
loop_
_space_group_symop_operation_xyz
'x,y,z'
'-x,-y,-z'
loop_
_atom_site_label
_atom_site_fract_x
_atom_site_fract_y
_atom_site_fract_z
Nd1 0.001 0.333 0.166
Nd2 0.247 0.588 0.415
Nd3 0.248 0.915 0.088
Nd4 0.499 0.164 0.337
Er1 0.248 0.248 0.748
Er2 0.500 0.500 0.000
Th1 0.000 0.000 0.500
```